# GGA-PBE Ba4Ir, optimized geometry
# Spin magnetization, μB per cell: 0.017
# Space group: C2/m, No. 12
# Energy, eV/atom: -3.4645
data_Ba4Ir
_cell_length_a 8.7732
_cell_length_b 8.7732
_cell_length_c 10.4982
_cell_angle_alpha 125.83
_cell_angle_beta 125.83
_cell_angle_gamma 64.17
_space_group_name_H-M_alt 'P 1'
_space_group_IT_number 1
loop_
_space_group_symop_operation_xyz
'x,y,z'
loop_
_atom_site_label
_atom_site_type_symbol
_atom_site_fract_x
_atom_site_fract_y
_atom_site_fract_z
Ba1 Ba 0.4735 0.9724 0.7003
Ba2 Ba 0.0276 0.5265 0.2997
Ba3 Ba 0.4796 0.4796 0.1750
Ba4 Ba 0.0207 0.0207 0.8243
Ba5 Ba 0.9724 0.4735 0.7003
Ba6 Ba 0.5204 0.5204 0.8250
Ba7 Ba 0.5265 0.0276 0.2997
Ba8 Ba 0.9793 0.9793 0.1757
Ir1 Ir 0.7505 0.2495 0.0000
Ir2 Ir 0.2495 0.7505 0.0000

---

# GGA-PBE Cu2Ag3, optimized geometry
# Space group: C2/m, No. 12
# Energy, eV/atom: -3.0765
data_Cu2Ag3
_cell_length_a 4.8071
_cell_length_b 4.8071
_cell_length_c 12.1645
_cell_angle_alpha 100.11
_cell_angle_beta 100.11
_cell_angle_gamma 34.51
_space_group_name_H-M_alt 'P 1'
_space_group_IT_number 1
loop_
_space_group_symop_operation_xyz
'x,y,z'
loop_
_atom_site_label
_atom_site_type_symbol
_atom_site_fract_x
_atom_site_fract_y
_atom_site_fract_z
Cu1 Cu 0.7006 0.7006 0.4022
Cu2 Cu 0.2994 0.2994 0.5978
Cu3 Cu 0.8970 0.8970 0.7876
Cu4 Cu 0.1030 0.1030 0.2124
Ag1 Ag 0.7950 0.7950 0.1064
Ag2 Ag 0.5000 0.5000 0.0000
Ag3 Ag 0.4004 0.4004 0.3030
Ag4 Ag 0.5996 0.5996 0.6970
Ag5 Ag 0.2050 0.2050 0.8936
Ag6 Ag 0.0000 0.0000 0.5000

---

# GGA-PBE NpAl, optimized geometry
# Spin magnetization, μB per cell: 4.904
# Space group: Fm-3m, No. 225
# Energy, eV/atom: -7.3599
data_NpAl
_cell_length_a 4.2156
_cell_length_b 4.2156
_cell_length_c 4.2156
_cell_angle_alpha 60.00
_cell_angle_beta 60.00
_cell_angle_gamma 60.00
_space_group_name_H-M_alt 'P 1'
_space_group_IT_number 1
loop_
_space_group_symop_operation_xyz
'x,y,z'
loop_
_atom_site_label
_atom_site_type_symbol
_atom_site_fract_x
_atom_site_fract_y
_atom_site_fract_z
Np1 Np 0.5000 0.5000 0.5000
Al1 Al 0.0000 0.0000 0.0000